(1)
4
Lattice="3.924 0.000 0.000 0.000 3.924 0.000 0.000 0.000 2.873" Properties=species:S:1:pos:R:3 comment="ZnFeCo2 (GGA-PBEsol, optimized geometry)" rho_g_cm3=9.0 total_energy_ev_per_atom=-6.500 formation_energy_kcal_per_mol_atoms=0.12 sg="P4/mmm (123)" n_ef_per_ev_fu=3.9 pbc="T T T"
Zn 0.000 0.000 0.000
Fe 1.962 1.962 0.000
Co 0.000 1.962 1.437
Co 1.962 0.000 1.437

---

(2)
4
Lattice="2.452 0.000 0.000 0.000 3.900 0.000 -0.883 0.000 4.681" Properties=species:S:1:pos:R:3 comment="ZnFeCo2 (GGA-PBEsol, optimized geometry)" rho_g_cm3=8.9 total_energy_ev_per_atom=-6.462 formation_energy_kcal_per_mol_atoms=0.98 sg="P2/m (10)" n_ef_per_ev_fu=3.5 pbc="T T T"
Zn 0.000 0.000 0.000
Fe 0.784 0.000 2.341
Co 0.062 1.950 3.478
Co 1.507 1.950 1.203

---

(3)
12
Lattice="2.497 0.000 0.000 -1.248 2.162 0.000 0.000 0.000 24.558" Properties=species:S:1:pos:R:3 comment="ZnFeCo2 (GGA-PBEsol, optimized geometry)" rho_g_cm3=9.0 total_energy_ev_per_atom=-6.449 formation_energy_kcal_per_mol_atoms=1.29 sg="R3m (160)" n_ef_per_ev_fu=3.8 pbc="T T T"
Zn 0.000 0.000 0.000
Zn 0.000 1.441 16.372
Zn 1.248 0.721 8.186
Fe 0.000 0.000 18.517
Fe 0.000 1.441 10.331
Fe 1.248 0.721 2.145
Co 0.000 0.000 6.075
Co 0.000 0.000 12.336
Co 0.000 1.441 4.150
Co 0.000 1.441 22.446
Co 1.248 0.721 14.261
Co 1.248 0.721 20.522

---

(4)
4
Lattice="2.498 0.000 0.000 0.000 3.569 0.000 0.000 0.000 4.984" Properties=species:S:1:pos:R:3 comment="ZnFeCo2 (GGA-PBEsol, optimized geometry)" rho_g_cm3=8.9 total_energy_ev_per_atom=-6.478 formation_energy_kcal_per_mol_atoms=0.61 sg="Pmm2 (25)" n_ef_per_ev_fu=3.5 pbc="T T T"
Zn 0.000 0.000 0.000
Fe 1.249 1.784 3.662
Co 0.000 0.000 2.467
Co 1.249 1.784 1.274